1.
Compound: KTcBSb2
Source: the Alexandria database
Functional: PBEsol
Structure: optimized geometry

Fermi-level density of states in states/eV per atom: 0.819
Raw formation energy in eV/f.u.: 13.2
Uncorrected energy in eV per cell: -15.30
V in Å³/cell: 134

abc: 5.5097 5.5097 4.4103
angles: 90.00 90.00 90.00
Space group P4/mmm (No. 123)
Symmetry-distinct sites (fractional):
K  0.0000  0.0000  0.0000
Tc  0.5000  0.5000  0.5000
B  0.0000  0.0000  0.5000
Sb  0.0000  0.5000  0.0000

---

2.
Compound: KSiB2
Source: the Alexandria database
Functional: PBEsol
Structure: optimized geometry

Fermi-level density of states in states/eV per atom: 0.519
Raw formation energy in eV/f.u.: 2.9
Uncorrected energy in eV per cell: -72.18
V in Å³/cell: 262

abc: 4.4560 4.4560 13.1752
angles: 90.00 90.00 90.00
Space group I4_1/amd (No. 141, origin choice 2)
Symmetry-distinct sites (fractional):
K  0.0000  0.2500  0.3750
Si  0.0000  0.2500  0.8750
B  0.0000  0.0000  0.0000

---

3.
Compound: KSrB3
Source: the Alexandria database
Functional: PBEsol
Structure: optimized geometry

Fermi-level density of states in states/eV per atom: 1.215
Uncorrected energy in eV per cell: -11.89
V in Å³/cell: 134
Formation energy in eV per formula unit: 12.134

abc: 5.1126 5.1126 5.1126
angles: 90.00 90.00 90.00
Space group Pm-3m (No. 221)
Symmetry-distinct sites (fractional):
K  0.0000  0.0000  0.0000
Sr  0.5000  0.5000  0.5000
B  0.0000  0.5000  0.5000

---

4.
Compound: KSr3B
Source: the Alexandria database
Functional: PBEsol
Structure: optimized geometry

Fermi-level density of states in states/eV per atom: 1.453
Uncorrected energy in eV per cell: -4.74
V in Å³/cell: 304
Formation energy in eV per formula unit: 8.932

abc: 6.7251 6.7251 6.7251
angles: 90.00 90.00 90.00
Space group Pm-3m (No. 221)
Symmetry-distinct sites (fractional):
K  0.0000  0.0000  0.0000
Sr  0.0000  0.0000  0.5000
B  0.5000  0.5000  0.5000

---

5.
Compound: KTa3B
Source: the Alexandria database
Functional: PBEsol
Structure: optimized geometry

Fermi-level density of states in states/eV per atom: 0.892
Uncorrected energy in eV per cell: -40.42
V in Å³/cell: 92
Formation energy in eV per formula unit: 5.386

abc: 4.5212 4.5212 4.5212
angles: 90.00 90.00 90.00
Space group Pm-3m (No. 221)
Symmetry-distinct sites (fractional):
K  0.0000  0.0000  0.0000
Ta  0.0000  0.5000  0.5000
B  0.5000  0.5000  0.5000

---

6.
Compound: KZn2TcB
Source: the Alexandria database
Functional: PBEsol
Structure: optimized geometry

Fermi-level density of states in states/eV per atom: 0.635
Uncorrected energy in eV per cell: -18.88
V in Å³/cell: 80
Formation energy in eV per formula unit: 3.696

abc: 4.3613 4.3613 4.2024
angles: 90.00 90.00 90.00
Space group P4/mmm (No. 123)
Symmetry-distinct sites (fractional):
K  0.0000  0.0000  0.0000
Zn  0.0000  0.5000  0.5000
Tc  0.5000  0.5000  0.0000
B  0.5000  0.5000  0.5000

---

7.
Compound: KBTe2
Source: the Alexandria database
Functional: PBEsol
Structure: optimized geometry

Raw formation energy in eV/f.u.: -0.7
Uncorrected energy in eV per cell: -63.79
V in Å³/cell: 445

abc: 7.2424 7.2424 8.4763
angles: 90.00 90.00 90.00
Space group I-42d (No. 122)
Symmetry-distinct sites (fractional):
K  0.0000  0.0000  0.0000
B  0.0000  0.0000  0.5000
Te  0.1331  0.2500  0.6250

---

8.
Compound: KTl3B
Source: the Alexandria database
Functional: PBEsol
Structure: optimized geometry

Fermi-level density of states in states/eV per atom: 0.387
Uncorrected energy in eV per cell: -13.46
V in Å³/cell: 133
Distance to the lowest polymorph of the same formula in eV/f.u.: 0.000
Formation energy in eV per formula unit: 2.583

abc: 5.1102 5.1102 5.1102
angles: 90.00 90.00 90.00
Space group Pm-3m (No. 221)
Symmetry-distinct sites (fractional):
K  0.0000  0.0000  0.0000
Tl  0.0000  0.5000  0.5000
B  0.5000  0.5000  0.5000

---

9.
Compound: KTl3B
Source: the Alexandria database
Functional: PBEsol
Structure: optimized geometry

Fermi-level density of states in states/eV per atom: 1.404
Uncorrected energy in eV per cell: -7.23
V in Å³/cell: 210
Distance to the lowest polymorph of the same formula in eV/f.u.: 6.226
Formation energy in eV per formula unit: 8.808

abc: 5.9395 5.9395 5.9395
angles: 90.00 90.00 90.00
Space group Pm-3m (No. 221)
Symmetry-distinct sites (fractional):
K  0.0000  0.0000  0.0000
Tl  0.0000  0.0000  0.5000
B  0.5000  0.5000  0.5000

---

10.
Compound: KZn3B
Source: the Alexandria database
Functional: PBEsol
Structure: optimized geometry

Fermi-level density of states in states/eV per atom: 1.030
Uncorrected energy in eV per cell: -2.70
V in Å³/cell: 203
Formation energy in eV per formula unit: 10.193

abc: 5.8742 5.8742 5.8742
angles: 90.00 90.00 90.00
Space group Pm-3m (No. 221)
Symmetry-distinct sites (fractional):
K  0.0000  0.0000  0.0000
Zn  0.0000  0.0000  0.5000
B  0.5000  0.5000  0.5000

---

11.
Compound: K2ZrB
Source: the Alexandria database
Functional: PBEsol
Structure: optimized geometry

Fermi-level density of states in states/eV per atom: 0.656
Uncorrected energy in eV per cell: -56.34
V in Å³/cell: 669
Formation energy in eV per formula unit: 4.287

abc: 12.4012 12.4012 4.3483
angles: 90.00 90.00 90.00
Space group I-42d (No. 122)
Symmetry-distinct sites (fractional):
K  0.0764  0.7500  0.1250
Zr  0.0000  0.0000  0.5000
B  0.0000  0.0000  0.0000

---

12.
Compound: LaB4
Source: the Alexandria database
Functional: PBEsol
Structure: optimized geometry

Fermi-level density of states in states/eV per atom: 0.114
Uncorrected energy in eV per cell: -145.85
V in Å³/cell: 219
Formation energy in eV per formula unit: -3.052

abc: 7.2668 7.2668 4.1521
angles: 90.00 90.00 90.00
Space group P4/mbm (No. 127)
Symmetry-distinct sites (fractional):
La  0.1845  0.3155  0.0000
B  0.0000  0.0000  0.2057
B  0.0390  0.8262  0.5000
B  0.0882  0.5882  0.5000

---

13.
Compound: LaB6
Source: the Alexandria database
Functional: PBEsol
Structure: optimized geometry

Fermi-level density of states in states/eV per atom: 0.124
Uncorrected energy in eV per cell: -51.52
V in Å³/cell: 71
Formation energy in eV per formula unit: -4.075

abc: 4.1319 4.1319 4.1319
angles: 90.00 90.00 90.00
Space group Pm-3m (No. 221)
Symmetry-distinct sites (fractional):
La  0.0000  0.0000  0.0000
B  0.1996  0.5000  0.5000

---

14.
Compound: LaMg3B
Source: the Alexandria database
Functional: PBEsol
Structure: optimized geometry

Fermi-level density of states in states/eV per atom: 1.246
Uncorrected energy in eV per cell: -16.08
V in Å³/cell: 108
Formation energy in eV per formula unit: 1.433

abc: 4.7653 4.7653 4.7653
angles: 90.00 90.00 90.00
Space group Pm-3m (No. 221)
Symmetry-distinct sites (fractional):
La  0.0000  0.0000  0.0000
Mg  0.0000  0.5000  0.5000
B  0.5000  0.5000  0.5000

---

15.
Compound: LaMgB5O10
Source: the Alexandria database
Functional: PBEsol
Structure: optimized geometry

Fermi-level density of states in states/eV per atom: 0.000
Raw formation energy in eV/f.u.: -46.8
Uncorrected energy in eV per cell: -565.63
V in Å³/cell: 633

abc: 8.7777 7.6222 12.6362
angles: 90.00 131.49 90.00
Space group P2_1/c (No. 14)
Symmetry-distinct sites (fractional):
La  0.0512  0.1877  0.2347
Mg  0.4862  0.5878  0.8780
B  0.0966  0.6709  0.6109
B  0.1581  0.5946  0.0079
B  0.2694  0.0327  0.0517
B  0.3555  0.5835  0.2687
B  0.4862  0.1862  0.9154
O  0.0297  0.7217  0.9908
O  0.0827  0.1038  0.9135
O  0.1218  0.5368  0.8917
O  0.2154  0.7221  0.2418
O  0.2329  0.5228  0.6458
O  0.3183  0.6283  0.5097
O  0.3229  0.5366  0.1405
O  0.3240  0.0792  0.8146
O  0.4359  0.1510  0.4305
O  0.4390  0.1546  0.1245

---

16.
Compound: LaMg2BRh
Source: the Alexandria database
Functional: PBEsol
Structure: optimized geometry

Fermi-level density of states in states/eV per atom: 0.785
Uncorrected energy in eV per cell: -21.02
V in Å³/cell: 124
Formation energy in eV per formula unit: 2.911

abc: 4.8452 4.8452 5.2833
angles: 90.00 90.00 90.00
Space group P4/mmm (No. 123)
Symmetry-distinct sites (fractional):
La  0.0000  0.0000  0.0000
Mg  0.0000  0.5000  0.5000
B  0.5000  0.5000  0.0000
Rh  0.0000  0.0000  0.5000

---

17.
Compound: LaMnBN2
Source: the Alexandria database
Functional: PBEsol
Structure: optimized geometry

Fermi-level density of states in states/eV per atom: 0.688
Raw formation energy in eV/f.u.: 7.0
Uncorrected energy in eV per cell: -32.22
V in Å³/cell: 59

abc: 3.5932 3.5932 4.5352
angles: 90.00 90.00 90.00
Space group P4/mmm (No. 123)
Symmetry-distinct sites (fractional):
La  0.0000  0.0000  0.0000
Mn  0.5000  0.5000  0.0000
B  0.0000  0.0000  0.5000
N  0.0000  0.5000  0.5000

---

18.
Compound: LaMn2BPt
Source: the Alexandria database
Functional: PBEsol
Structure: optimized geometry

Fermi-level density of states in states/eV per atom: 0.968
Uncorrected energy in eV per cell: -36.68
V in Å³/cell: 96
Formation energy in eV per formula unit: 2.173

abc: 4.8678 4.8678 4.0488
angles: 90.00 90.00 90.00
Space group P4/mmm (No. 123)
Symmetry-distinct sites (fractional):
La  0.0000  0.0000  0.0000
Mn  0.0000  0.5000  0.5000
B  0.5000  0.5000  0.0000
Pt  0.5000  0.5000  0.5000

---

19.
Compound: LaTiMnB2
Source: the Alexandria database
Functional: PBEsol
Structure: optimized geometry

Fermi-level density of states in states/eV per atom: 1.208
Uncorrected energy in eV per cell: -26.51
V in Å³/cell: 89
Formation energy in eV per formula unit: 10.953

abc: 4.4791 4.4791 4.4264
angles: 90.00 90.00 90.00
Space group P4/mmm (No. 123)
Symmetry-distinct sites (fractional):
La  0.0000  0.0000  0.0000
Ti  0.5000  0.5000  0.5000
Mn  0.0000  0.0000  0.5000
B  0.0000  0.5000  0.0000

---

20.
Compound: La4B2N5
Source: the Alexandria database
Functional: PBEsol
Structure: optimized geometry

Fermi-level density of states in states/eV per atom: 0.136
Raw formation energy in eV/f.u.: -16.2
Uncorrected energy in eV per cell: -188.46
V in Å³/cell: 320

abc: 12.5265 3.6399 9.0904
angles: 90.00 129.50 90.00
Space group C2/m (No. 12)
Symmetry-distinct sites (fractional):
La  0.0762  0.0000  0.3433
La  0.1881  0.5000  0.1152
B  0.0887  0.5000  0.6103
N  0.0000  0.0000  0.0000
N  0.1174  0.5000  0.7955
N  0.2017  0.5000  0.6003